Material: VSn2
Method: DFT, PBE
State: optimized geometry

Results
**Uncorrected energy**: -68.914 eV for the cell shown
**Energy of formation from the pure elements**: -0.1 eV/f.u.
**V**: 245.1 Å³/cell

abc: 6.7873 6.7873 5.3203
angles: 90.00 90.00 90.00
Closest atoms and distances in Å follow each position.
Space group I4/mcm (No. 140)
Inequivalent atoms, fractional coordinates:
V  0.0000  0.0000  0.2500  2 V 2.66, 8 Sn 2.87
Sn  0.1633  0.3367  0.0000  4 V 2.87, 3 Sn 3.14